(1)
A plane-wave DFT calculation with PBE was carried out for a relaxed structure of SiSn2Te.

Computed properties:
* calculated volume: 257 Å³/cell
* raw total energy: -3.91 eV per atom
* symmetry: I-42d (122)
* E_form (uncorrected): 0.231 eV per atom
* relative energy among the computed polymorphs: 0 meV/atom

The structure in POSCAR format:
```
SiSn2Te
1.0
-4.152 -5.272 -2.563
2.700 1.068 -6.571
2.879 -5.401 -3.621
Sn Si Te
4 2 2
Direct
0.875 0.832 0.750 Sn
0.375 0.418 0.750 Sn
0.582 0.125 0.250 Sn
0.168 0.625 0.250 Sn
0.500 0.500 0.000 Si
0.250 0.750 0.500 Si
0.750 0.250 0.500 Te
0.000 0.000 0.000 Te
```

=====

(2)
A plane-wave DFT calculation with PBE was carried out for a relaxed structure of KPaTiSe4.

Computed properties:
* calculated volume: 404 Å³/cell
* raw total energy: -5.82 eV per atom
* symmetry: Imma (74)
* E_form (uncorrected): -1.189 eV per atom

The structure in POSCAR format:
```
KPaTiSe4
1.0
8.258 0.000 0.000
-4.129 6.930 -1.191
0.000 -4.799 7.892
Se K Pa Ti
8 2 2 2
Direct
0.240 0.481 0.307 Se
0.760 0.519 0.693 Se
0.711 0.999 0.249 Se
0.712 0.001 0.751 Se
0.289 0.001 0.751 Se
0.760 0.519 0.327 Se
0.288 0.999 0.249 Se
0.240 0.481 0.673 Se
0.821 0.641 0.071 K
0.179 0.359 0.929 K
0.500 0.000 0.000 Pa
0.500 0.000 0.500 Pa
0.000 0.500 0.500 Ti
0.500 0.500 0.500 Ti
```

=====

(3)
A plane-wave DFT calculation with PBE was carried out for a relaxed structure of Pm3Tm2Cd6.

Computed properties:
* calculated volume: 321 Å³/cell
* raw total energy: -2.60 eV per atom
* energy relative to the elements: 0.00 eV/atom
* symmetry: I4/mmm (139)

The structure in POSCAR format:
```
Pm3Tm2Cd6
1.0
-1.602 1.709 -3.551
-3.859 0.094 1.786
6.055 15.367 7.212
Tm Cd Pm
2 6 3
Direct
0.634 0.634 0.269 Tm
0.366 0.366 0.731 Tm
0.930 0.430 0.860 Cd
0.570 0.070 0.140 Cd
0.070 0.570 0.140 Cd
0.275 0.275 0.550 Cd
0.430 0.930 0.860 Cd
0.725 0.725 0.450 Cd
0.817 0.817 0.635 Pm
0.000 0.000 0.000 Pm
0.183 0.183 0.365 Pm
```

=====

(4)
A plane-wave DFT calculation with PBE was carried out for a relaxed structure of NbCrCo2.

Computed properties:
* calculated volume: 110 Å³/cell
* raw total energy: -7.88 eV per atom
* energy relative to the elements: 0.60 eV/atom
* symmetry: I-42d (122)
* relative energy among the computed polymorphs: 581 meV/atom

The structure in POSCAR format:
```
NbCrCo2
1.0
3.673 0.000 0.000
0.000 3.673 0.000
1.836 1.836 8.183
Cr Nb Co
2 2 4
Direct
0.500 0.500 0.000 Cr
0.250 0.750 0.500 Cr
0.750 0.250 0.500 Nb
0.000 0.000 0.000 Nb
0.875 0.843 0.750 Co
0.593 0.125 0.250 Co
0.375 0.407 0.750 Co
0.157 0.625 0.250 Co
```